[1]
CdRe2H8C2S2N4O8 after structural relaxation. Source: the Open Quantum Materials Database, functional PBE-GGA.

Geometry as extended XYZ:
```
54
Lattice="-8.2082 -0.0255 -2.4772 -3.7258 -8.0813 0.6182 -5.9339 1.1108 7.6353" Properties=species:S:1:pos:R:3 pbc="T T T"
O -9.7670 -5.3134 -1.2224
O -11.5169 -5.8800 3.9861
O -11.4797 -6.8497 6.6942
O -6.3882 -0.1464 -0.9179
O -9.4768 -3.9264 5.8356
O -8.3748 -0.5949 3.9538
O -8.3911 -3.0697 -0.0592
O -6.3510 -1.1160 1.7902
O -10.7306 -1.3578 5.9488
O -8.1009 -1.6827 6.9987
O -3.9505 -0.4520 0.5352
O -9.4931 -6.4011 1.8226
O -4.4056 -3.9096 0.7335
O -7.1373 -5.6382 -0.1725
O -13.4622 -3.0865 5.0429
O -13.9174 -6.5440 5.2411
H -3.3264 -1.3578 3.2047
H -14.5415 -5.6383 2.5717
H -6.5475 -1.6168 4.2916
H -12.1845 -0.3151 5.0168
H -8.9004 -5.3448 6.7511
H -12.0713 -1.1263 3.4998
H -11.9432 -4.7945 -0.0502
H -5.9247 -2.2015 5.8265
H -1.3086 -0.7863 0.0501
H -16.5593 -6.2098 5.7263
H -13.9614 -4.4680 3.7596
H -3.9065 -2.5280 2.0168
H -5.6834 -6.6809 0.7596
H -5.7966 -5.8698 2.2766
H -8.9675 -1.6513 -0.9747
H -11.3203 -5.3793 1.4848
N -5.3867 -6.6337 1.7386
N -12.4812 -0.3624 4.0378
N -8.5993 -6.2066 7.2102
N -9.2686 -0.7895 -1.4339
N -6.2239 -2.3945 4.8649
N -3.4605 -2.3268 2.9169
N -11.6440 -4.6016 0.9115
N -14.4074 -4.6692 2.8594
C -4.6351 0.7854 5.8842
C -6.4849 -3.6443 4.5099
C -13.2328 -7.7815 -0.1078
C -11.3830 -3.3517 1.2664
S -7.1460 -4.0130 2.9419
S -8.5307 -7.3575 4.7868
S -9.3372 0.3615 0.9896
S -10.7219 -2.9831 2.8345
Re -5.6224 0.0072 0.6389
Re -12.2455 -7.0032 5.1374
Re -9.6581 -2.4348 6.7915
Re -8.2098 -4.5613 -1.0152
Cd -8.5275 -1.8800 1.9649
Cd -9.3404 -5.1161 3.8115
```

Results
Total moment   0.00 μB per formula unit
SG   P-1, No. 2
Uncorrected energy   -346.4 eV/cell

=====

[2]
CdRe2H8C2S2N4O8 after structural relaxation. Source: the Open Quantum Materials Database, functional PBE-GGA.

Geometry as extended XYZ:
```
54
Lattice="-5.6928 -0.8807 -1.0603 1.1032 -10.6388 2.9141 -1.2693 2.5313 9.7218" Properties=species:S:1:pos:R:3 pbc="T T T"
S -4.5857 -5.9463 3.3119
S -1.2733 -3.0419 8.2639
S -1.0752 -0.0975 2.2497
S -4.7838 -8.8907 9.3260
C -1.1663 1.3643 6.7873
C -5.8075 -4.4561 8.3809
C -4.6927 -10.3525 4.7884
C -0.0515 -4.5320 3.1948
H -1.3344 -5.0395 10.0935
H -3.9567 -4.1243 9.2101
H -5.5175 -5.8112 9.9163
H -4.1302 -0.8595 2.0318
H -0.5091 -8.1428 5.7360
H -4.7476 -8.3814 5.4127
H -3.0005 0.8718 6.0021
H -1.7288 -8.1287 9.5439
H -4.4019 -3.0937 7.8514
H -1.1114 -0.6067 6.1630
H -1.4571 -5.8944 3.7243
H -0.3415 -3.1769 1.6594
H -1.9023 -4.8639 2.3656
H -4.5246 -3.9487 1.4822
H -2.8585 -9.8600 5.5736
H -5.3499 -0.8454 5.8397
O -1.8231 -5.7235 6.0850
O -2.5162 -4.3098 0.6757
O -3.8918 -1.0881 7.6422
O -2.0939 0.3036 9.4704
O -1.9672 -7.9001 3.9335
O -4.5553 -6.5258 6.5553
O -1.3037 -2.4624 5.0204
O -3.2361 -2.5564 2.8368
O -4.0359 -3.2647 5.4907
O -3.7651 -9.2918 2.1053
O -3.6805 -1.8368 -0.1080
O -3.4080 -0.5646 4.8574
O -2.6229 -6.4318 8.7389
O -2.4510 -8.4236 6.7183
O -2.1785 -7.1514 11.6837
O -3.3428 -4.6784 10.9000
N -5.4045 -4.4303 1.3094
N -1.2427 -5.1063 3.1140
N -4.6163 -3.8819 8.4617
N -4.5228 0.0711 2.1713
N -0.4545 -4.5579 10.2663
N -1.3362 -9.0593 9.4044
N 0.4362 -8.2931 6.0818
N -6.2952 -0.6951 5.4939
Re -3.6720 -0.4603 9.2594
Re -2.9853 -2.2270 4.5358
Re -2.1870 -8.5279 2.3163
Re -2.8736 -6.7612 7.0399
Cd -0.0831 -4.0537 6.3180
Cd 0.0000 0.0000 0.0000
```

Results
Total moment   0.00 μB per formula unit
SG   P2_1/c, No. 14
Uncorrected energy   -346.4 eV/cell

=====

[3]
CdH12C4S4N6O2 after structural relaxation. Source: the Open Quantum Materials Database, functional PBE-GGA.

Geometry as extended XYZ:
```
29
Lattice="-1.5367 5.5413 0.0092 -4.9927 -1.2365 -4.8558 -7.4761 -0.0708 4.3752" Properties=species:S:1:pos:R:3 pbc="T T T"
H -7.7619 2.0694 -2.7711
H -6.1526 3.7969 0.7089
H -5.4976 0.5771 2.0210
H -6.2435 2.1646 2.2997
H -11.1318 3.2396 -1.4872
H -2.8737 0.9944 1.0158
H -8.5220 0.7962 0.4228
H -8.5078 3.6569 -2.4924
H -6.3675 0.0760 -3.4463
H -7.6380 4.1580 2.9749
H -5.4835 3.4377 -0.8942
H -7.8528 0.4371 -1.1803
S -11.8035 0.3119 0.1339
S -9.5280 3.4121 0.0405
S -4.4774 0.8218 -0.5118
S -2.2019 3.9221 -0.6053
O -7.2611 -0.1077 -3.0611
O -6.7443 4.3417 2.5897
N -5.7038 1.5356 1.7051
N -8.3272 1.0827 -0.5420
N -8.9415 0.5839 2.3098
N -8.3016 2.6984 -2.1765
N -5.6782 3.1513 0.0706
N -5.0640 3.6501 -2.7811
Cd -3.2647 2.1524 -2.4233
C -5.3893 4.6051 -3.4030
C -8.6498 2.3029 -0.9519
C -8.6161 -0.3711 2.9316
C -5.3556 1.9311 0.4806
```

Results
SG   P-1, No. 2
Uncorrected energy   -163.9 eV/cell

=====

[4]
CdH20C4S4N2O12 after structural relaxation. Source: the Open Quantum Materials Database, functional PBE-GGA.

Geometry as extended XYZ:
```
43
Lattice="-1.1439 7.0352 -2.1190 -7.5148 2.4170 -0.3458 -1.9260 4.0719 6.8007" Properties=species:S:1:pos:R:3 pbc="T T T"
O -7.9089 6.5012 0.6357
O -2.6758 7.0228 3.7002
O -6.8840 4.8390 2.1607
O -3.7007 8.6851 2.1752
O -6.8637 6.5097 5.2045
O -7.8245 10.6361 4.8856
O -3.7210 7.0143 -0.8686
O -1.5954 4.1540 4.1283
O -8.9893 9.3701 0.2076
O -7.2131 9.0097 2.8187
O -2.7602 2.8880 -0.5497
O -3.3716 4.5143 1.5172
H -6.4592 8.4297 3.1482
H -3.1121 3.9609 0.7369
H -1.2993 4.7799 -1.1336
H -4.1255 5.0943 1.1877
H -3.7427 5.0114 4.4971
H -5.2738 8.8290 0.6929
H -6.8420 8.5127 -0.1612
H -8.2133 6.5021 4.2020
H -9.7569 12.1087 4.0733
H -2.3714 7.0219 0.1339
H -1.9333 3.2268 4.0356
H -4.0030 10.1132 4.6387
H -5.3109 4.6951 3.6430
H -0.8278 1.4153 0.2626
H -9.2854 8.7441 5.4695
H -6.2842 11.3417 3.2749
H -8.6514 10.2972 0.3003
H -4.3005 2.1823 1.0610
H -7.4725 9.5631 3.5990
H -6.5817 3.4108 -0.3028
S -3.6631 8.0914 3.5083
S -5.1719 6.9550 -0.7063
S -5.4128 6.5690 5.0422
S -6.9216 5.4326 0.8276
C -4.8325 4.9750 4.5860
C -3.2428 9.3288 4.6813
C -7.3419 4.1952 -0.3454
C -5.7522 8.5491 -0.2501
N -5.4354 5.9466 0.5223
N -5.1493 7.5775 3.8136
Cd -1.5349 5.5535 2.3409
```

Results
SG   P-1, No. 2
Uncorrected energy   -226.1 eV/cell